(1)
Here is an optimized crystal structure of NdAlTeO6 from Alexandria. Energies are from PBE-GGA.

a b c (Å): 5.1076 5.1076 10.3003
angles (deg): 90.00 90.00 120.00
Positions (direct):
Nd (0.0000, 0.0000, 0.0000)
Nd (0.0000, 0.0000, 0.5000)
Al (0.3333, 0.6667, 0.2500)
Al (0.6667, 0.3333, 0.7500)
Te (0.3333, 0.6667, 0.7500)
Te (0.6667, 0.3333, 0.2500)
O (0.0029, 0.3741, 0.1451)
O (0.0029, 0.6289, 0.3549)
O (0.3711, 0.3741, 0.3549)
O (0.3711, 0.9971, 0.1451)
O (0.3741, 0.0029, 0.6451)
O (0.3741, 0.3711, 0.8549)
O (0.6259, 0.6289, 0.1451)
O (0.6259, 0.9971, 0.3549)
O (0.6289, 0.0029, 0.8549)
O (0.6289, 0.6259, 0.6451)
O (0.9971, 0.3711, 0.6451)
O (0.9971, 0.6259, 0.8549)

Summary:
As for the space group: P-31c. As for the total energy: -6.937 eV per atom.


(2)
Here is an optimized crystal structure of Ba2CrI from Alexandria. Energies are from PBE-GGA.

a b c (Å): 8.6319 8.6319 8.6319
angles (deg): 90.00 90.00 90.00
Positions (direct):
Ba (0.2500, 0.2500, 0.2500)
Ba (0.2500, 0.2500, 0.7500)
Ba (0.2500, 0.7500, 0.2500)
Ba (0.2500, 0.7500, 0.7500)
Ba (0.7500, 0.2500, 0.2500)
Ba (0.7500, 0.2500, 0.7500)
Ba (0.7500, 0.7500, 0.2500)
Ba (0.7500, 0.7500, 0.7500)
Cr (0.0000, 0.0000, 0.0000)
Cr (0.0000, 0.5000, 0.5000)
Cr (0.5000, 0.0000, 0.5000)
Cr (0.5000, 0.5000, 0.0000)
I (0.0000, 0.0000, 0.5000)
I (0.0000, 0.5000, 0.0000)
I (0.5000, 0.0000, 0.0000)
I (0.5000, 0.5000, 0.5000)

Summary:
The calculation puts the polymorph energy (0 for the lowest one) at 0.000 eV/f.u. As for the space group: Fm-3m. As for the total energy: -3.802 eV per atom.


Please write out number 1 again, unchanged.
Here is an optimized crystal structure of NdAlTeO6 from Alexandria. Energies are from PBE-GGA.

a b c (Å): 5.1076 5.1076 10.3003
angles (deg): 90.00 90.00 120.00
Positions (direct):
Nd (0.0000, 0.0000, 0.0000)
Nd (0.0000, 0.0000, 0.5000)
Al (0.3333, 0.6667, 0.2500)
Al (0.6667, 0.3333, 0.7500)
Te (0.3333, 0.6667, 0.7500)
Te (0.6667, 0.3333, 0.2500)
O (0.0029, 0.3741, 0.1451)
O (0.0029, 0.6289, 0.3549)
O (0.3711, 0.3741, 0.3549)
O (0.3711, 0.9971, 0.1451)
O (0.3741, 0.0029, 0.6451)
O (0.3741, 0.3711, 0.8549)
O (0.6259, 0.6289, 0.1451)
O (0.6259, 0.9971, 0.3549)
O (0.6289, 0.0029, 0.8549)
O (0.6289, 0.6259, 0.6451)
O (0.9971, 0.3711, 0.6451)
O (0.9971, 0.6259, 0.8549)

Summary:
As for the space group: P-31c. As for the total energy: -6.937 eV per atom.